No. 1
Below is a PBEsol-optimized structure of MnIrCl, with properties calculated at the SCAN level.

Its distance to the lowest polymorph of the same formula is 1.87 eV/f.u. Its final energy is -382.60 eV per cell. The density of states at the Fermi level comes out at 1.3119 states/eV/atom.

The structure belongs to space group F-43m (No. 216); the cell edges are 5.916, 5.916 and 5.916 Å and the angles 90.00°, 90.00° and 90.00°. The asymmetric unit holds Mn at (0.000, 0.000, 0.000), Ir at (0.250, 0.250, 0.750) and Cl at (0.000, 0.000, 0.500).

---

No. 2
Below is a PBEsol-optimized structure of MnIrCl2, with properties calculated at the SCAN level.

Its distance to the lowest polymorph of the same formula is 0.00 eV/f.u. Its final energy is -106.47 eV per cell. The density of states at the Fermi level comes out at 0.3052 states/eV/atom.

The structure belongs to space group Pm (No. 6); the cell edges are 3.326, 3.447 and 6.885 Å and the angles 90.00°, 98.95° and 90.00°. The asymmetric unit holds Mn at (0.000, 0.000, 0.000), Ir at (0.458, 0.500, 0.870), Cl at (0.323, 0.000, 0.621) and Cl at (0.706, 0.500, 0.209).